The following is a GGA-PBE calculation of CuB2Au after structural relaxation, from Alexandria.

Energy above the most stable polymorph in this dataset ... 0 meV/atom
DOS at the Fermi energy ... 0.125 states/eV/atom
Magnetization ... 0.00 μB per formula unit

The structure in CIF format:
```
data_CuB2Au
_symmetry_space_group_name_H-M 'I 41/a m d'
_symmetry_Int_Tables_number 141
_cell_length_a 3.5881
_cell_length_b 3.5881
_cell_length_c 14.8934
_cell_angle_alpha 90.00
_cell_angle_beta 90.00
_cell_angle_gamma 90.00
loop_
_symmetry_equiv_pos_as_xyz
'x,y,z'
'-x,-y,-z'
'-y+1/4,x+3/4,z+1/4'
'y+1/4,-x+3/4,-z+1/4'
'-x+1/2,-y,z+1/2'
'x+1/2,y,-z+1/2'
'y+1/4,-x+1/4,z+3/4'
'-y+1/4,x+1/4,-z+3/4'
'x,-y,-z'
'-x,y,z'
'-y+1/4,-x+1/4,-z+3/4'
'y+1/4,x+1/4,z+3/4'
'-x+1/2,y,-z+1/2'
'x+1/2,-y,z+1/2'
'y+1/4,x+3/4,-z+1/4'
'-y+1/4,-x+3/4,z+1/4'
'x+1/2,y+1/2,z+1/2'
'-x+1/2,-y+1/2,-z+1/2'
'-y+3/4,x+1/4,z+3/4'
'y+3/4,-x+1/4,-z+3/4'
'-x,-y+1/2,z'
'x,y+1/2,-z'
'y+3/4,-x+3/4,z+1/4'
'-y+3/4,x+3/4,-z+1/4'
'x+1/2,-y+1/2,-z+1/2'
'-x+1/2,y+1/2,z+1/2'
'-y+3/4,-x+3/4,-z+1/4'
'y+3/4,x+3/4,z+1/4'
'-x,y+1/2,-z'
'x,-y+1/2,z'
'y+3/4,x+1/4,-z+3/4'
'-y+3/4,-x+1/4,z+3/4'
loop_
_atom_site_label
_atom_site_fract_x
_atom_site_fract_y
_atom_site_fract_z
Cu1 0.0000 0.2500 0.3750
B1 0.0000 0.0000 0.5000
Au1 0.0000 0.2500 0.8750
```